Material: ThGe2Sb
Method: DFT, PBE-GGA
State: relaxed Values from VASP.

Calculated values
**Polymorph energy (0 for the lowest one)**: 796 meV per atom
**Calculated volume**: 144.90 Å³ per cell
**Fermi-level density of states**: 0.80 states/eV/atom
**Raw formation energy**: 0.34 eV per atom

Geometry as Quantum ESPRESSO input:
```
&SYSTEM
  ibrav = 0, nat = 4, ntyp = 3
/
ATOMIC_SPECIES
Th 232.04 Th.upf
Ge 72.64 Ge.upf
Sb 121.76 Sb.upf
CELL_PARAMETERS angstrom
2.333 1.347 7.688
-2.333 1.347 7.688
0.000 -2.693 7.688
ATOMIC_POSITIONS crystal
Th 0.000 0.000 0.000
Ge 0.390 0.390 0.390
Ge 0.610 0.610 0.610
Sb 0.500 0.500 0.500
```



Material: Th12Ge3Sb5
Method: DFT, PBE-GGA
State: relaxed Values from VASP.

Calculated values
**Calculated volume**: 2917.80 Å³ per cell
**Fermi-level density of states**: 1.50 states/eV/atom
**Raw formation energy**: 0.02 eV per atom

Geometry as Quantum ESPRESSO input:
```
&SYSTEM
  ibrav = 0, nat = 80, ntyp = 3
/
ATOMIC_SPECIES
Th 232.04 Th.upf
Ge 72.64 Ge.upf
Sb 121.76 Sb.upf
CELL_PARAMETERS angstrom
-9.002 9.002 9.002
9.002 -9.002 9.002
9.002 9.002 -9.002
ATOMIC_POSITIONS crystal
Th 0.064 0.629 0.397
Th 0.064 0.934 0.666
Th 0.066 0.232 0.129
Th 0.066 0.334 0.936
Th 0.103 0.732 0.666
Th 0.103 0.871 0.436
Th 0.129 0.066 0.232
Th 0.129 0.564 0.897
Th 0.166 0.232 0.603
Th 0.166 0.434 0.564
Th 0.232 0.129 0.066
Th 0.232 0.603 0.166
Th 0.268 0.334 0.897
Th 0.268 0.434 0.371
Th 0.334 0.897 0.268
Th 0.334 0.936 0.066
Th 0.371 0.268 0.434
Th 0.371 0.603 0.936
Th 0.397 0.064 0.629
Th 0.397 0.834 0.768
Th 0.434 0.371 0.268
Th 0.434 0.564 0.166
Th 0.436 0.103 0.871
Th 0.436 0.834 0.566
Th 0.564 0.166 0.434
Th 0.564 0.897 0.129
Th 0.566 0.436 0.834
Th 0.566 0.629 0.732
Th 0.603 0.166 0.232
Th 0.603 0.936 0.371
Th 0.629 0.397 0.064
Th 0.629 0.732 0.566
Th 0.666 0.064 0.934
Th 0.666 0.103 0.732
Th 0.732 0.566 0.629
Th 0.732 0.666 0.103
Th 0.768 0.397 0.834
Th 0.768 0.871 0.934
Th 0.834 0.566 0.436
Th 0.834 0.768 0.397
Th 0.871 0.436 0.103
Th 0.871 0.934 0.768
Th 0.897 0.129 0.564
Th 0.897 0.268 0.334
Th 0.934 0.666 0.064
Th 0.934 0.768 0.871
Th 0.936 0.066 0.334
Th 0.936 0.371 0.603
Ge 0.125 0.250 0.375
Ge 0.125 0.375 0.750
Ge 0.250 0.375 0.125
Ge 0.250 0.875 0.625
Ge 0.375 0.125 0.250
Ge 0.375 0.750 0.125
Ge 0.625 0.250 0.875
Ge 0.625 0.875 0.750
Ge 0.750 0.125 0.375
Ge 0.750 0.625 0.875
Ge 0.875 0.625 0.250
Ge 0.875 0.750 0.625
Sb 0.000 0.000 0.000
Sb 0.000 0.000 0.500
Sb 0.000 0.500 0.000
Sb 0.000 0.500 0.500
Sb 0.125 0.750 0.875
Sb 0.125 0.875 0.250
Sb 0.250 0.125 0.875
Sb 0.250 0.625 0.375
Sb 0.375 0.250 0.625
Sb 0.375 0.625 0.750
Sb 0.500 0.000 0.000
Sb 0.500 0.000 0.500
Sb 0.500 0.500 0.000
Sb 0.500 0.500 0.500
Sb 0.625 0.375 0.250
Sb 0.625 0.750 0.375
Sb 0.750 0.375 0.625
Sb 0.750 0.875 0.125
Sb 0.875 0.125 0.750
Sb 0.875 0.250 0.125
```



Material: Th3GeSb2
Method: DFT, PBE-GGA
State: relaxed Values from VASP.

Calculated values
**Polymorph energy (0 for the lowest one)**: 0 meV per atom
**Calculated volume**: 743.34 Å³ per cell
**Fermi-level density of states**: 0.61 states/eV/atom
**Raw formation energy**: -0.89 eV per atom

Geometry as Quantum ESPRESSO input:
```
&SYSTEM
  ibrav = 0, nat = 24, ntyp = 3
/
ATOMIC_SPECIES
Th 232.04 Th.upf
Ge 72.64 Ge.upf
Sb 121.76 Sb.upf
CELL_PARAMETERS angstrom
0.000 6.284 13.264
4.459 0.000 13.264
4.459 6.284 0.000
ATOMIC_POSITIONS crystal
Th 0.039 0.537 0.194
Th 0.106 0.644 0.644
Th 0.194 0.729 0.039
Th 0.271 0.806 0.463
Th 0.356 0.894 0.894
Th 0.463 0.961 0.271
Th 0.537 0.039 0.729
Th 0.644 0.106 0.106
Th 0.729 0.194 0.537
Th 0.806 0.271 0.961
Th 0.894 0.356 0.356
Th 0.961 0.463 0.806
Ge 0.041 0.041 0.209
Ge 0.209 0.209 0.041
Ge 0.791 0.791 0.959
Ge 0.959 0.959 0.791
Sb 0.128 0.128 0.622
Sb 0.294 0.294 0.456
Sb 0.378 0.378 0.872
Sb 0.456 0.456 0.294
Sb 0.544 0.544 0.706
Sb 0.622 0.622 0.128
Sb 0.706 0.706 0.544
Sb 0.872 0.872 0.378
```



Material: Ti2GeSb2
Method: DFT, PBE-GGA
State: relaxed Values from VASP.

Calculated values
**Polymorph energy (0 for the lowest one)**: 0 meV per atom
**Calculated volume**: 200.97 Å³ per cell
**Fermi-level density of states**: 0.54 states/eV/atom
**Raw formation energy**: -0.30 eV per atom

Geometry as Quantum ESPRESSO input:
```
&SYSTEM
  ibrav = 0, nat = 10, ntyp = 3
/
ATOMIC_SPECIES
Ti 47.87 Ti.upf
Ge 72.64 Ge.upf
Sb 121.76 Sb.upf
CELL_PARAMETERS angstrom
7.177 0.000 0.000
0.000 7.177 0.000
0.000 0.000 3.901
ATOMIC_POSITIONS crystal
Ti 0.150 0.350 0.000
Ti 0.350 0.850 0.000
Ti 0.650 0.150 0.000
Ti 0.850 0.650 0.000
Ge 0.000 0.000 0.000
Ge 0.500 0.500 0.000
Sb 0.152 0.652 0.500
Sb 0.348 0.152 0.500
Sb 0.652 0.848 0.500
Sb 0.848 0.348 0.500
```



Material: Ti2GeSb2
Method: DFT, PBE-GGA
State: relaxed Values from VASP.

Calculated values
**Polymorph energy (0 for the lowest one)**: 239 meV per atom
**Calculated volume**: 214.73 Å³ per cell
**Fermi-level density of states**: 0.70 states/eV/atom
**Raw formation energy**: -0.06 eV per atom

Geometry as Quantum ESPRESSO input:
```
&SYSTEM
  ibrav = 0, nat = 10, ntyp = 3
/
ATOMIC_SPECIES
Ti 47.87 Ti.upf
Ge 72.64 Ge.upf
Sb 121.76 Sb.upf
CELL_PARAMETERS angstrom
7.798 0.000 0.000
0.000 7.798 0.000
0.000 0.000 3.531
ATOMIC_POSITIONS crystal
Ti 0.132 0.368 0.000
Ti 0.368 0.868 0.000
Ti 0.632 0.132 0.000
Ti 0.868 0.632 0.000
Ge 0.000 0.000 0.500
Ge 0.500 0.500 0.500
Sb 0.156 0.656 0.500
Sb 0.344 0.156 0.500
Sb 0.656 0.844 0.500
Sb 0.844 0.344 0.500
```



Material: Ti7Ge2Sb2
Method: DFT, PBE-GGA
State: relaxed Values from VASP.

Calculated values
**Calculated volume**: 221.69 Å³ per cell
**Fermi-level density of states**: 1.12 states/eV/atom
**Raw formation energy**: -0.16 eV per atom

Geometry as Quantum ESPRESSO input:
```
&SYSTEM
  ibrav = 0, nat = 11, ntyp = 3
/
ATOMIC_SPECIES
Ti 47.87 Ti.upf
Ge 72.64 Ge.upf
Sb 121.76 Sb.upf
CELL_PARAMETERS angstrom
4.152 -4.710 0.000
4.152 4.710 0.000
0.000 0.000 5.668
ATOMIC_POSITIONS crystal
Ti 0.000 0.000 0.000
Ti 0.000 0.500 0.254
Ti 0.000 0.500 0.746
Ti 0.500 0.000 0.254
Ti 0.500 0.000 0.746
Ti 0.500 0.500 0.257
Ti 0.500 0.500 0.743
Ge 0.272 0.728 0.000
Ge 0.728 0.272 0.000
Sb 0.194 0.194 0.500
Sb 0.806 0.806 0.500
```



Q: The lowest calculated volume belongs to which entry?
A: ThGe2Sb



Repeat the second record exactly.
Material: Th12Ge3Sb5
Method: DFT, PBE-GGA
State: relaxed Values from VASP.

Calculated values
**Calculated volume**: 2917.80 Å³ per cell
**Fermi-level density of states**: 1.50 states/eV/atom
**Raw formation energy**: 0.02 eV per atom

Geometry as Quantum ESPRESSO input:
```
&SYSTEM
  ibrav = 0, nat = 80, ntyp = 3
/
ATOMIC_SPECIES
Th 232.04 Th.upf
Ge 72.64 Ge.upf
Sb 121.76 Sb.upf
CELL_PARAMETERS angstrom
-9.002 9.002 9.002
9.002 -9.002 9.002
9.002 9.002 -9.002
ATOMIC_POSITIONS crystal
Th 0.064 0.629 0.397
Th 0.064 0.934 0.666
Th 0.066 0.232 0.129
Th 0.066 0.334 0.936
Th 0.103 0.732 0.666
Th 0.103 0.871 0.436
Th 0.129 0.066 0.232
Th 0.129 0.564 0.897
Th 0.166 0.232 0.603
Th 0.166 0.434 0.564
Th 0.232 0.129 0.066
Th 0.232 0.603 0.166
Th 0.268 0.334 0.897
Th 0.268 0.434 0.371
Th 0.334 0.897 0.268
Th 0.334 0.936 0.066
Th 0.371 0.268 0.434
Th 0.371 0.603 0.936
Th 0.397 0.064 0.629
Th 0.397 0.834 0.768
Th 0.434 0.371 0.268
Th 0.434 0.564 0.166
Th 0.436 0.103 0.871
Th 0.436 0.834 0.566
Th 0.564 0.166 0.434
Th 0.564 0.897 0.129
Th 0.566 0.436 0.834
Th 0.566 0.629 0.732
Th 0.603 0.166 0.232
Th 0.603 0.936 0.371
Th 0.629 0.397 0.064
Th 0.629 0.732 0.566
Th 0.666 0.064 0.934
Th 0.666 0.103 0.732
Th 0.732 0.566 0.629
Th 0.732 0.666 0.103
Th 0.768 0.397 0.834
Th 0.768 0.871 0.934
Th 0.834 0.566 0.436
Th 0.834 0.768 0.397
Th 0.871 0.436 0.103
Th 0.871 0.934 0.768
Th 0.897 0.129 0.564
Th 0.897 0.268 0.334
Th 0.934 0.666 0.064
Th 0.934 0.768 0.871
Th 0.936 0.066 0.334
Th 0.936 0.371 0.603
Ge 0.125 0.250 0.375
Ge 0.125 0.375 0.750
Ge 0.250 0.375 0.125
Ge 0.250 0.875 0.625
Ge 0.375 0.125 0.250
Ge 0.375 0.750 0.125
Ge 0.625 0.250 0.875
Ge 0.625 0.875 0.750
Ge 0.750 0.125 0.375
Ge 0.750 0.625 0.875
Ge 0.875 0.625 0.250
Ge 0.875 0.750 0.625
Sb 0.000 0.000 0.000
Sb 0.000 0.000 0.500
Sb 0.000 0.500 0.000
Sb 0.000 0.500 0.500
Sb 0.125 0.750 0.875
Sb 0.125 0.875 0.250
Sb 0.250 0.125 0.875
Sb 0.250 0.625 0.375
Sb 0.375 0.250 0.625
Sb 0.375 0.625 0.750
Sb 0.500 0.000 0.000
Sb 0.500 0.000 0.500
Sb 0.500 0.500 0.000
Sb 0.500 0.500 0.500
Sb 0.625 0.375 0.250
Sb 0.625 0.750 0.375
Sb 0.750 0.375 0.625
Sb 0.750 0.875 0.125
Sb 0.875 0.125 0.750
Sb 0.875 0.250 0.125
```



Please write out number 1 again, unchanged.
Material: ThGe2Sb
Method: DFT, PBE-GGA
State: relaxed Values from VASP.

Calculated values
**Polymorph energy (0 for the lowest one)**: 796 meV per atom
**Calculated volume**: 144.90 Å³ per cell
**Fermi-level density of states**: 0.80 states/eV/atom
**Raw formation energy**: 0.34 eV per atom

Geometry as Quantum ESPRESSO input:
```
&SYSTEM
  ibrav = 0, nat = 4, ntyp = 3
/
ATOMIC_SPECIES
Th 232.04 Th.upf
Ge 72.64 Ge.upf
Sb 121.76 Sb.upf
CELL_PARAMETERS angstrom
2.333 1.347 7.688
-2.333 1.347 7.688
0.000 -2.693 7.688
ATOMIC_POSITIONS crystal
Th 0.000 0.000 0.000
Ge 0.390 0.390 0.390
Ge 0.610 0.610 0.610
Sb 0.500 0.500 0.500
```